<A>
Compound: TiAlO
Source: Alexandria
Functional: PBE-GGA
Structure: relaxed Values from VASP.

Values from the calculation:
For the total moment, the calculation gives 0.267 μB per formula unit.

Geometry as Quantum ESPRESSO input:
```
&SYSTEM
  ibrav = 0, nat = 6, ntyp = 3
/
ATOMIC_SPECIES
Ti 47.87 Ti.upf
Al 26.98 Al.upf
O 16.00 O.upf
ATOMIC_POSITIONS crystal
Ti 0.000 0.000 0.000
Ti 0.500 0.449 0.449
Al 0.253 0.766 0.766
Al 0.747 0.766 0.766
O 0.229 0.580 0.580
O 0.771 0.580 0.580
CELL_PARAMETERS angstrom
5.604 0.000 0.000
0.000 1.470 4.961
0.000 -1.470 4.961
```

***

<B>
Compound: TiAlO
Source: Alexandria
Functional: PBE-GGA
Structure: relaxed Values from VASP.

Values from the calculation:
For the total moment, the calculation gives 0.000 μB per formula unit.

Geometry as Quantum ESPRESSO input:
```
&SYSTEM
  ibrav = 0, nat = 6, ntyp = 3
/
ATOMIC_SPECIES
Ti 47.87 Ti.upf
Al 26.98 Al.upf
O 16.00 O.upf
ATOMIC_POSITIONS crystal
Ti 0.000 0.248 0.752
Ti 0.000 0.752 0.248
Al 0.500 0.194 0.194
Al 0.500 0.708 0.708
O 0.000 0.839 0.839
O 0.500 0.392 0.392
CELL_PARAMETERS angstrom
2.814 0.000 0.000
0.000 2.799 4.850
0.000 -2.799 4.850
```

***

<C>
Compound: TiAlO
Source: Alexandria
Functional: PBE-GGA
Structure: relaxed Values from VASP.

Values from the calculation:
For the total moment, the calculation gives 0.000 μB per formula unit.

Geometry as Quantum ESPRESSO input:
```
&SYSTEM
  ibrav = 0, nat = 6, ntyp = 3
/
ATOMIC_SPECIES
Ti 47.87 Ti.upf
Al 26.98 Al.upf
O 16.00 O.upf
ATOMIC_POSITIONS crystal
Ti 0.000 0.000 0.000
Ti 0.227 0.227 0.861
Al 0.496 0.496 0.541
Al 0.747 0.747 0.480
O 0.421 0.421 0.165
O 0.666 0.666 0.099
CELL_PARAMETERS angstrom
5.342 -1.459 0.000
5.342 1.459 0.000
-2.338 0.000 4.909
```

***

The most stable of them is <C>.

***

<A>
Compound: TiAlO
Source: Alexandria
Functional: PBE-GGA
Structure: relaxed Values from VASP.

Values from the calculation:
For the total moment, the calculation gives 0.000 μB per formula unit.

Geometry as Quantum ESPRESSO input:
```
&SYSTEM
  ibrav = 0, nat = 6, ntyp = 3
/
ATOMIC_SPECIES
Ti 47.87 Ti.upf
Al 26.98 Al.upf
O 16.00 O.upf
ATOMIC_POSITIONS crystal
Ti 0.000 0.000 0.219
Ti 0.000 0.000 0.781
Al 0.000 0.000 0.500
Al 0.667 0.333 0.000
O 0.667 0.333 0.383
O 0.667 0.333 0.617
CELL_PARAMETERS angstrom
2.829 0.000 0.000
-1.415 2.450 0.000
0.000 0.000 10.326
```

***

<B>
Compound: TiAlO
Source: Alexandria
Functional: PBE-GGA
Structure: relaxed Values from VASP.

Values from the calculation:
For the total moment, the calculation gives 0.454 μB per formula unit.

Geometry as Quantum ESPRESSO input:
```
&SYSTEM
  ibrav = 0, nat = 3, ntyp = 3
/
ATOMIC_SPECIES
Ti 47.87 Ti.upf
Al 26.98 Al.upf
O 16.00 O.upf
ATOMIC_POSITIONS crystal
Ti 0.000 0.000 0.000
Al 0.667 0.333 0.412
O 0.667 0.333 0.767
CELL_PARAMETERS angstrom
2.968 0.000 0.000
-1.484 2.571 0.000
0.000 0.000 5.162
```

***

The most stable of them is <B>.

***

<A>
Compound: TiAlO
Source: Alexandria
Functional: PBE-GGA
Structure: relaxed Values from VASP.

Values from the calculation:
For the total moment, the calculation gives 0.000 μB per formula unit.

Geometry as Quantum ESPRESSO input:
```
&SYSTEM
  ibrav = 0, nat = 3, ntyp = 3
/
ATOMIC_SPECIES
Ti 47.87 Ti.upf
Al 26.98 Al.upf
O 16.00 O.upf
ATOMIC_POSITIONS crystal
Ti 0.000 0.000 0.000
Al 0.735 0.735 0.433
O 0.298 0.298 0.722
CELL_PARAMETERS angstrom
2.616 -1.389 0.000
2.616 1.389 0.000
-0.476 0.000 4.978
```

***

<B>
Compound: TiAlO
Source: Alexandria
Functional: PBE-GGA
Structure: relaxed Values from VASP.

Values from the calculation:
For the total moment, the calculation gives 0.000 μB per formula unit.

Geometry as Quantum ESPRESSO input:
```
&SYSTEM
  ibrav = 0, nat = 3, ntyp = 3
/
ATOMIC_SPECIES
Ti 47.87 Ti.upf
Al 26.98 Al.upf
O 16.00 O.upf
ATOMIC_POSITIONS crystal
Ti 0.000 0.000 0.000
Al 0.500 0.500 0.414
O 0.500 0.500 0.820
CELL_PARAMETERS angstrom
2.866 0.000 0.000
0.000 2.866 0.000
0.000 0.000 4.553
```

***

The most stable of them is <B>.

***

<A>
Compound: Ti4AlO
Source: Alexandria
Functional: PBE-GGA
Structure: relaxed Values from VASP.

Values from the calculation:
For the total moment, the calculation gives 0.000 μB per formula unit.

Geometry as Quantum ESPRESSO input:
```
&SYSTEM
  ibrav = 0, nat = 12, ntyp = 3
/
ATOMIC_SPECIES
Ti 47.87 Ti.upf
Al 26.98 Al.upf
O 16.00 O.upf
ATOMIC_POSITIONS crystal
Ti 0.012 0.184 0.455
Ti 0.184 0.012 0.955
Ti 0.219 0.388 0.851
Ti 0.388 0.219 0.351
Ti 0.612 0.781 0.649
Ti 0.781 0.612 0.149
Ti 0.816 0.988 0.045
Ti 0.988 0.816 0.545
Al 0.415 0.585 0.250
Al 0.585 0.415 0.750
O 0.000 0.500 0.500
O 0.500 0.000 0.000
CELL_PARAMETERS angstrom
6.400 -2.564 0.000
6.400 2.564 0.000
-1.511 0.000 5.355
```

***

<B>
Compound: Ti4AlO
Source: Alexandria
Functional: PBE-GGA
Structure: relaxed Values from VASP.

Values from the calculation:
For the total moment, the calculation gives 0.000 μB per formula unit.

Geometry as Quantum ESPRESSO input:
```
&SYSTEM
  ibrav = 0, nat = 12, ntyp = 3
/
ATOMIC_SPECIES
Ti 47.87 Ti.upf
Al 26.98 Al.upf
O 16.00 O.upf
ATOMIC_POSITIONS crystal
Ti 0.128 0.249 0.305
Ti 0.128 0.251 0.805
Ti 0.227 0.713 0.604
Ti 0.227 0.787 0.104
Ti 0.773 0.213 0.896
Ti 0.773 0.287 0.396
Ti 0.872 0.749 0.195
Ti 0.872 0.751 0.695
Al 0.500 0.000 0.500
Al 0.500 0.500 0.000
O 0.000 0.000 0.500
O 0.000 0.500 0.000
CELL_PARAMETERS angstrom
7.261 0.000 0.000
0.000 4.713 0.000
-2.219 0.000 5.743
```

***

The most stable of them is <A>.

***

<A>
Compound: Al2TlO
Source: Alexandria
Functional: PBE-GGA
Structure: relaxed Values from VASP.

Values from the calculation:
For the total moment, the calculation gives 0.000 μB per formula unit.

Geometry as Quantum ESPRESSO input:
```
&SYSTEM
  ibrav = 0, nat = 4, ntyp = 3
/
ATOMIC_SPECIES
Al 26.98 Al.upf
Tl 204.38 Tl.upf
O 16.00 O.upf
ATOMIC_POSITIONS crystal
Al 0.250 0.250 0.250
Al 0.750 0.750 0.750
Tl 0.000 0.000 0.000
O 0.500 0.500 0.500
CELL_PARAMETERS angstrom
0.000 3.259 3.259
3.259 0.000 3.259
3.259 3.259 0.000
```

***

<B>
Compound: Al2TlO
Source: Alexandria
Functional: PBE-GGA
Structure: relaxed Values from VASP.

Values from the calculation:
For the total moment, the calculation gives 0.000 μB per formula unit.

Geometry as Quantum ESPRESSO input:
```
&SYSTEM
  ibrav = 0, nat = 8, ntyp = 3
/
ATOMIC_SPECIES
Al 26.98 Al.upf
Tl 204.38 Tl.upf
O 16.00 O.upf
ATOMIC_POSITIONS crystal
Al 0.375 0.208 0.333
Al 0.792 0.125 0.167
Al 0.875 0.042 0.667
Al 0.958 0.625 0.833
Tl 0.250 0.750 0.500
Tl 0.500 0.500 0.000
O 0.000 0.000 0.000
O 0.750 0.250 0.500
CELL_PARAMETERS angstrom
-2.539 2.539 5.671
2.539 -2.539 5.671
2.539 2.539 -5.671
```

***

The most stable of them is <B>.

***

<A>
Compound: AlTl3O
Source: Alexandria
Functional: PBE-GGA
Structure: relaxed Values from VASP.

Values from the calculation:
For the total moment, the calculation gives 0.000 μB per formula unit.

Geometry as Quantum ESPRESSO input:
```
&SYSTEM
  ibrav = 0, nat = 5, ntyp = 3
/
ATOMIC_SPECIES
Al 26.98 Al.upf
Tl 204.38 Tl.upf
O 16.00 O.upf
ATOMIC_POSITIONS crystal
Al 0.000 0.000 0.000
Tl 0.000 0.000 0.500
Tl 0.000 0.500 0.000
Tl 0.500 0.000 0.000
O 0.500 0.500 0.500
CELL_PARAMETERS angstrom
5.332 0.000 0.000
0.000 5.332 0.000
0.000 0.000 5.332
```

***

<B>
Compound: AlTl3O
Source: Alexandria
Functional: PBE-GGA
Structure: relaxed Values from VASP.

Values from the calculation:
For the total moment, the calculation gives 0.000 μB per formula unit.

Geometry as Quantum ESPRESSO input:
```
&SYSTEM
  ibrav = 0, nat = 5, ntyp = 3
/
ATOMIC_SPECIES
Al 26.98 Al.upf
Tl 204.38 Tl.upf
O 16.00 O.upf
ATOMIC_POSITIONS crystal
Al 0.000 0.000 0.000
Tl 0.000 0.500 0.500
Tl 0.500 0.000 0.500
Tl 0.500 0.500 0.000
O 0.500 0.500 0.500
CELL_PARAMETERS angstrom
5.063 0.000 0.000
0.000 5.063 0.000
0.000 0.000 5.063
```

***

The most stable of them is <B>.